A plane-wave DFT calculation with PBE with a Hubbard U was carried out for BaCrCdO4 after structural relaxation.

M_tot = 2.000 μB per formula unit
Raw total energy = -5.66 eV/atom

Cell and atoms, written as POSCAR:
```
BaCrCdO4
1.0
6.2934 0.0000 0.0000
3.1467 5.4503 0.0000
3.1467 1.8168 5.1386
Ba Cr Cd O
1 1 1 4
direct
0.7500 0.7500 0.7500
0.2500 0.2500 0.2500
0.5000 0.5000 0.5000
0.3650 0.3650 0.9049
0.3650 0.3650 0.3650
0.3650 0.9049 0.3650
0.9049 0.3650 0.3650
```